DFT (PBE) results for crystalline Tl2SiSb at its relaxed geometry.

abc: 6.0906 6.0906 3.2981
angles: 90.00 90.00 118.08
Element x y z (fractional)
1 Tl 0.0000 0.5000 0.0000
2 Tl 0.5000 0.0000 0.0000
3 Si 0.0000 0.0000 0.5000
4 Sb 0.5000 0.5000 0.5000

Results
- excess energy over the best structure of this formula in the dataset (eV/atom) = 0.238
- SG = No. 65
- E_form (uncorrected) (eV/atom) = 0.39
- calculated total energy (eV per formula unit) = -12.7